(1)
A relaxed structure of Mn2AgIr2. Source: Alexandria via LeMat-Bulk, functional PBE-GGA.

Geometry as POSCAR:
```
Mn2AgIr2
1.0
7.286 0.000 0.000
0.000 7.286 0.000
0.000 0.000 2.676
Mn Ag Ir
4 2 4
direct
0.117 0.383 0.000
0.383 0.883 0.000
0.617 0.117 0.000
0.883 0.617 0.000
0.000 0.000 0.000
0.500 0.500 0.000
0.171 0.671 0.500
0.329 0.171 0.500
0.671 0.829 0.500
0.829 0.329 0.500
```

Properties
Formation energy in eV/atom: 0.167

(2)
A relaxed structure of Tb2Sc3Os2. Source: Alexandria via LeMat-Bulk, functional PBE-GGA.

Geometry as POSCAR:
```
Tb2Sc3Os2
1.0
10.940 0.000 0.000
0.000 4.021 0.000
-3.078 0.000 7.263
Tb Sc Os
4 6 4
direct
0.154 0.000 0.300
0.346 0.500 0.700
0.654 0.500 0.300
0.846 0.000 0.700
0.000 0.500 0.500
0.132 0.500 0.931
0.368 0.000 0.069
0.500 0.000 0.500
0.632 0.000 0.931
0.868 0.500 0.069
0.157 0.000 0.714
0.343 0.500 0.286
0.657 0.500 0.714
0.843 0.000 0.286
```

Properties
Formation energy in eV/atom: -0.295

(3)
A relaxed structure of YReOs. Source: Alexandria via LeMat-Bulk, functional PBE-GGA.

Geometry as POSCAR:
```
YReOs
1.0
2.896 0.000 0.000
-1.448 2.508 0.000
0.000 0.000 7.436
Y Re Os
1 1 1
direct
0.000 0.000 0.000
0.333 0.667 0.632
0.667 0.333 0.360
```

Properties
Formation energy in eV/atom: 0.532

(4)
A relaxed structure of Ac8Ge3SeS4. Source: Alexandria via LeMat-Bulk, functional PBE-GGA.

Geometry as POSCAR:
```
Ac8Ge3SeS4
1.0
4.493 2.594 7.201
-4.493 2.594 7.201
0.000 -5.188 7.201
Ac Ge Se S
8 3 1 4
direct
0.250 0.250 0.250
0.253 0.253 0.745
0.253 0.745 0.253
0.255 0.747 0.747
0.745 0.253 0.253
0.747 0.255 0.747
0.747 0.747 0.255
0.750 0.750 0.750
0.000 0.500 0.500
0.500 0.000 0.500
0.500 0.500 0.000
0.000 0.000 0.000
0.000 0.000 0.500
0.000 0.500 0.000
0.500 0.000 0.000
0.500 0.500 0.500
```

(5)
A relaxed structure of Nd3GaIr3. Source: Alexandria via LeMat-Bulk, functional PBE-GGA.

Geometry as POSCAR:
```
Nd3GaIr3
1.0
8.672 0.000 0.000
-4.336 7.510 0.000
0.000 0.000 5.762
Nd Ga Ir
6 2 6
direct
0.048 0.699 0.250
0.301 0.349 0.250
0.349 0.048 0.750
0.651 0.952 0.250
0.699 0.651 0.750
0.952 0.301 0.750
0.333 0.667 0.750
0.667 0.333 0.250
0.058 0.681 0.750
0.319 0.377 0.750
0.377 0.058 0.250
0.623 0.942 0.750
0.681 0.623 0.250
0.942 0.319 0.250
```

Properties
Formation energy in eV/atom: -0.384

(6)
A relaxed structure of RbAcTl2O4. Source: Alexandria via LeMat-Bulk, functional PBE-GGA.

Geometry as POSCAR:
```
RbAcTl2O4
1.0
4.395 0.000 0.000
0.000 4.395 0.000
0.000 0.000 7.729
Rb Ac Tl O
1 1 2 4
direct
0.000 0.000 0.000
0.000 0.000 0.500
0.500 0.500 0.198
0.500 0.500 0.802
0.000 0.500 0.303
0.000 0.500 0.697
0.500 0.000 0.303
0.500 0.000 0.697
```

(7)
A relaxed structure of PmNdHoAg. Source: Alexandria via LeMat-Bulk, functional PBE-GGA.

Geometry as POSCAR:
```
PmNdHoAg
1.0
7.735 0.000 0.000
0.000 7.735 0.000
0.000 0.000 7.735
Pm Nd Ho Ag
4 4 4 4
direct
0.000 0.000 0.000
0.000 0.500 0.500
0.500 0.000 0.500
0.500 0.500 0.000
0.250 0.250 0.750
0.250 0.750 0.250
0.750 0.250 0.250
0.750 0.750 0.750
0.250 0.250 0.250
0.250 0.750 0.750
0.750 0.250 0.750
0.750 0.750 0.250
0.000 0.000 0.500
0.000 0.500 0.000
0.500 0.000 0.000
0.500 0.500 0.500
```

Properties
Formation energy in eV/atom: 0.104

(8)
A relaxed structure of TaTi2N. Source: Alexandria via LeMat-Bulk, functional PBE-GGA.

Geometry as POSCAR:
```
TaTi2N
1.0
2.965 0.000 0.000
-1.483 2.568 0.000
0.000 0.000 22.074
Ta Ti N
3 6 3
direct
0.000 0.000 0.000
0.333 0.667 0.667
0.667 0.333 0.333
0.000 0.000 0.554
0.000 0.000 0.780
0.333 0.667 0.221
0.333 0.667 0.447
0.667 0.333 0.113
0.667 0.333 0.887
0.000 0.000 0.168
0.333 0.667 0.834
0.667 0.333 0.501
```

no.,M_tot (μB/cell),VASP energy (eV/cell)
1,3.49,-76.2
2,0.00,-105.6
3,0.00,-28.5
4,0.00,-91.7
5,0.00,-93.2
6,0.00,-42.2
7,0.01,-66.1
8,0.00,-118.4